Below is a relaxed structure of Pm2DyYAs4, with properties calculated at the PBE-GGA level.

Computed properties:
- E_tot: -6.43 eV/atom
- ΔE_f: -1.53 eV per atom
- DOS at the Fermi energy: 0.86 states/eV/cell

Lattice parameters (Å, degrees): 4.1830 7.2414 7.2365 109.48 90.00 90.00
With the nearest neighbours (Å) after each atom.
Element x y z (fractional)
Pm1 0.5000 0.0000 0.5000  6 As 2.98-2.99
Pm2 0.0000 0.5000 0.5000  6 As 2.98
Dy1 0.5000 0.5000 0.0000  6 As 2.93
Y1 0.0000 0.0000 0.0000  6 As 2.93
As1 0.5000 0.2480 0.2431  1 Dy 2.93, 2 Y 2.93, 3 Pm 2.98
As2 0.5000 0.7520 0.7569  1 Dy 2.93, 2 Y 2.93, 3 Pm 2.98
As3 0.0000 0.2527 0.7570  2 Dy 2.93, 1 Y 2.93, 3 Pm 2.98-2.99
As4 0.0000 0.7473 0.2430  2 Dy 2.93, 1 Y 2.93, 3 Pm 2.98-2.99

Below is a relaxed structure of PmDy2Y3As6, with properties calculated at the PBE-GGA level.

Computed properties:
- E_tot: -6.65 eV/atom
- ΔE_f: -1.54 eV per atom
- DOS at the Fermi energy: 1.82 states/eV/cell

Lattice parameters (Å, degrees): 7.1741 7.1741 7.1728 99.59 99.59 119.99
With the nearest neighbours (Å) after each atom.
Element x y z (fractional)
Pm1 0.0000 0.0000 0.0000  6 As 2.96
Dy1 0.3331 0.6669 0.0000  6 As 2.92
Dy2 0.6669 0.3331 0.0000  6 As 2.92
Y1 0.1657 0.8343 0.5000  6 As 2.91-2.93
Y2 0.8343 0.1657 0.5000  6 As 2.91-2.93
Y3 0.5000 0.5000 0.5000  6 As 2.90-2.93
As1 0.9160 0.5787 0.7481  3 Y 2.91-2.93, 2 Dy 2.92, 1 Pm 2.96
As2 0.7464 0.7464 0.2514  3 Y 2.90-2.93, 2 Dy 2.92, 1 Pm 2.96
As3 0.0840 0.4213 0.2519  3 Y 2.91-2.93, 2 Dy 2.92, 1 Pm 2.96
As4 0.5787 0.9160 0.7481  3 Y 2.91-2.93, 2 Dy 2.92, 1 Pm 2.96
As5 0.2536 0.2536 0.7486  3 Y 2.90-2.93, 2 Dy 2.92, 1 Pm 2.96
As6 0.4213 0.0840 0.2519  3 Y 2.91-2.93, 2 Dy 2.92, 1 Pm 2.96